1.
Material: TePtCl2
Method: DFT, PBE
State: optimized geometry

Calculated values
Formation energy (no corrections), eV/atom: 0.065
Crystal system: orthorhombic

Lattice parameters (Å, degrees): 6.6287 6.6287 7.0737 57.80 57.80 28.56
Each line ends with the local moment (μB).
Atoms (fractional coordinates):
Te: 0.2500 0.2500 0.2500  0.56
Cl: 0.0962 0.0962 0.9039  0.02
Cl: 0.4038 0.4038 0.5961  0.02
Pt: 0.7500 0.7500 0.7500  0.12

---

2.
Material: Te2PtCl
Method: DFT, PBE
State: optimized geometry

Calculated values
Formation energy (no corrections), eV/atom: -0.248
Crystal system: monoclinic

Lattice parameters (Å, degrees): 4.0320 3.0698 8.8152 110.31 90.00 90.00
Atoms (fractional coordinates):
Te: 0.0000 0.5421 0.5417
Te: 0.0000 0.9579 0.9583
Cl: 0.5000 0.2500 0.2500
Pt: 0.5000 0.7500 0.7500

---

3.
Material: Te4Pt2Cl
Method: DFT, PBE
State: optimized geometry

Calculated values
Formation energy (no corrections), eV/atom: -0.339
Crystal system: monoclinic

Lattice parameters (Å, degrees): 8.5545 8.5544 7.8362 116.73 116.45 100.37
Atoms (fractional coordinates):
Te: 0.8975 0.5735 0.7319
Te: 0.8138 0.6423 0.2224
Te: 0.4085 0.5844 0.2319
Te: 0.8301 0.1586 0.7224
Te: 0.8415 0.1656 0.2681
Te: 0.4198 0.5913 0.7776
Te: 0.3525 0.1766 0.7681
Te: 0.4363 0.1078 0.2776
Pt: 0.6250 0.3750 0.2500
Pt: 0.1250 0.3750 0.7500
Pt: 0.6250 0.3750 0.7500
Pt: 0.6250 0.8750 0.2500
Cl: 0.0766 0.0766 0.0000
Cl: 0.1734 0.6734 0.5000

---

4.
Material: Te2PtCl
Method: DFT, PBE
State: optimized geometry

Calculated values
Formation energy (no corrections), eV/atom: 0.414
Crystal system: cubic

Lattice parameters (Å, degrees): 5.0270 5.0270 5.0270 60.00 60.00 60.00
Atoms (fractional coordinates):
Te: 0.7500 0.7500 0.7500
Te: 0.0000 0.0000 0.0000
Pt: 0.2500 0.2500 0.2500
Cl: 0.5000 0.5000 0.5000